## SrNi3P4O14 (PBE with a Hubbard U)

Data for an optimized crystal structure of SrNi3P4O14.

Lattice parameters (Å, degrees): 7.7603 7.5082 9.5432 67.78 90.00 90.00
Closest atoms and distances in Å follow each position.
Positions (direct):
Sr 0.5000 0.5000 0.5000  8 O 2.59-2.74
Sr 0.0000 0.5000 0.0000  8 O 2.59-2.74
Ni 0.5000 0.0000 0.5000  6 O 2.07-2.14
Ni 0.0000 0.0000 0.0000  6 O 2.07-2.14
Ni 0.1262 0.8152 0.5250  6 O 2.07-2.23
Ni 0.6262 0.1848 0.9750  6 O 2.07-2.23
Ni 0.8738 0.1848 0.4750  6 O 2.07-2.23
Ni 0.3738 0.8152 0.0250  6 O 2.07-2.23
P 0.9416 0.3963 0.7013  4 O 1.52-1.61
P 0.4416 0.6037 0.7987  4 O 1.52-1.61
P 0.0584 0.6037 0.2987  4 O 1.52-1.61
P 0.5584 0.3963 0.2013  4 O 1.52-1.61
P 0.2031 0.1108 0.6936  4 O 1.52-1.61
P 0.7031 0.8892 0.8064  4 O 1.52-1.61
P 0.7969 0.8892 0.3064  4 O 1.52-1.61
P 0.2969 0.1108 0.1936  4 O 1.52-1.61
O 0.3757 0.1548 0.6116  1 P 1.52
O 0.8757 0.8452 0.8884  1 P 1.52
O 0.6243 0.8452 0.3884  1 P 1.52
O 0.1243 0.1548 0.1116  1 P 1.52
O 0.3837 0.7313 0.6342  1 P 1.56
O 0.8837 0.2687 0.8658  1 P 1.56
O 0.6163 0.2687 0.3658  1 P 1.56
O 0.1163 0.7313 0.1342  1 P 1.56
O 0.8192 0.3750 0.5840  1 P 1.52
O 0.3192 0.6250 0.9160  1 P 1.52
O 0.1808 0.6250 0.4160  1 P 1.52
O 0.6808 0.3750 0.0840  1 P 1.52
O 0.1285 0.3179 0.6769  2 P 1.61
O 0.6285 0.6821 0.8231  2 P 1.61
O 0.8715 0.6821 0.3231  2 P 1.61
O 0.3715 0.3179 0.1769  2 P 1.61
O 0.5189 0.5994 0.1929  1 P 1.53
O 0.0189 0.4006 0.3071  1 P 1.53
O 0.4811 0.4006 0.8071  1 P 1.53
O 0.9811 0.5994 0.6929  1 P 1.53
O 0.7903 0.9985 0.1343  1 P 1.53
O 0.2903 0.0015 0.3657  1 P 1.53
O 0.2097 0.0015 0.8657  1 P 1.53
O 0.7097 0.9985 0.6343  1 P 1.53
O 0.4248 0.0258 0.1126  1 P 1.54
O 0.9248 0.9742 0.3874  1 P 1.54
O 0.5752 0.9742 0.8874  1 P 1.54
O 0.0752 0.0258 0.6126  1 P 1.54

Results
M_tot: 0.271 μB/atom
Density of states at the Fermi level: 0.00 states/eV/f.u.
Symmetry: No. 14
Total energy: -6.68 eV per atom